Ba2FeGeO6: optimized geometry, PBE+U.

Summary:
For the energy, the calculation gives -254.2 eV per cell.

Lattice parameters (Å, degrees): 8.0724 8.0724 8.0724 90.00 90.00 90.00
Space group Fm-3m (No. 225)
Symmetry-distinct sites (fractional):
Ba 0.2500 0.2500 0.2500 (multiplicity 8)
Fe 0.0000 0.0000 0.0000 (multiplicity 4)
Ge 0.0000 0.0000 0.5000 (multiplicity 4)
O 0.0000 0.0000 0.2579 (multiplicity 24)